Density functional theory data (PBE) for a relaxed structure of PmSn8Rh2.

- Energy relative to the elements: -0.30 eV/atom

abc: 4.9042 7.8271 7.8271
angles: 113.60 94.13 94.13
Positions (direct):
Pm  0.5000  0.0000  0.0000
Sn  0.9032  0.9385  0.6644
Sn  0.9032  0.6644  0.9385
Sn  0.2958  0.6105  0.6105
Sn  0.5000  0.7490  0.2510
Sn  0.5000  0.2510  0.7490
Sn  0.7042  0.3895  0.3895
Sn  0.0968  0.3356  0.0615
Sn  0.0968  0.0615  0.3356
Rh  0.0000  0.3262  0.6738
Rh  0.0000  0.6738  0.3262

Density functional theory data (PBE) for a relaxed structure of ZnFeBr2.

- ΔE to the lowest computed polymorph: 136 meV per atom
- Formation energy without anion corrections: 38 meV per atom

abc: 6.5037 6.5037 6.5037
angles: 149.76 100.46 87.39
Each line ends with the local moment (μB).
Positions (direct):
Br  0.9218  0.9218  0.0000  0.01
Br  0.3322  0.8322  0.5000  0.11
Fe  0.5176  0.5176  0.0000  3.03
Zn  0.7284  0.2284  0.5000  -0.05

Density functional theory data (PBE) for a relaxed structure of SmTl2.

- Energy relative to the elements: -0.17 eV/atom

abc: 3.7082 3.7082 6.7792
angles: 105.87 105.87 90.00
Positions (direct):
Tl  0.6701  0.6701  0.3402
Tl  0.3299  0.3299  0.6598
Sm  0.0000  0.0000  0.0000

Density functional theory data (PBE) for a relaxed structure of AlZnNi5.

- Energy relative to the elements: -0.08 eV/atom
- ΔE to the lowest computed polymorph: 8 meV per atom

abc: 3.5283 3.5284 7.0157
angles: 90.00 90.00 90.00
Each line ends with the local moment (μB).
Positions (direct):
Al  0.5000  0.5000  0.0000  -0.01
Zn  0.0000  0.0000  0.5000  -0.01
Ni  0.0000  0.5000  0.7584  0.17
Ni  0.0000  0.5000  0.2416  0.17
Ni  0.5000  0.0000  0.7584  0.17
Ni  0.5000  0.0000  0.2416  0.17
Ni  0.5000  0.5000  0.5000  0.31

Density functional theory data (PBE) for a relaxed structure of SiTeCl2.

- ΔE to the lowest computed polymorph: 18 meV per atom
- Formation energy without anion corrections: -305 meV per atom

abc: 3.9174 7.5395 6.7420
angles: 43.98 90.00 90.00
Positions (direct):
Cl  0.0000  0.9055  0.0724
Cl  0.5000  0.2317  0.2566
Si  0.0000  0.6051  0.5233
Te  0.5000  0.7576  0.6477

Density functional theory data (PBE) for a relaxed structure of HgIr2Ru.

- Energy relative to the elements: 0.40 eV/atom

abc: 4.8094 4.8094 4.9849
angles: 80.69 80.69 34.03
Positions (direct):
Hg  0.2492  0.2492  0.2498
Ir  0.0095  0.0095  0.9742
Ir  0.7516  0.7516  0.7452
Ru  0.4896  0.4896  0.5309

no.,calculated total energy (eV/atom)
1,-4.98
2,-3.23
3,-3.33
4,-4.92
5,-3.37
6,-6.43